Nd2Al4CoPt3: relaxed, PBE.

Energy of formation = -0.95 eV per atom

```
data_Nd2Al4CoPt3
_space_group_name_H-M_alt 'P -4 m 2'
_space_group_IT_number 115
_space_group_name_Hall 'P -4 -2'
_cell_length_a 4.237
_cell_length_b 4.237
_cell_length_c 10.423
_cell_angle_alpha 90.00
_cell_angle_beta 90.00
_cell_angle_gamma 90.00
loop_
_atom_site_label
_atom_site_fract_x
_atom_site_fract_y
_atom_site_fract_z
Nd1 0.000 0.500 0.243
Al1 0.000 0.000 0.500
Al2 0.000 0.500 0.879
Al3 0.500 0.500 0.500
Co1 0.500 0.500 0.000
Pt1 0.000 0.000 0.000
Pt2 0.000 0.500 0.636
```